Entry 1:
A geometry-optimized TbCdAs2Pd5 structure. Source: Alexandria via LeMat-Bulk, functional PBE.

Calculated values
The calculation puts the volume at 17.68 Å³ per atom. The value obtained for the total magnetization is 0.00 μB per cell. The calculation puts the total energy at -46.563 eV per cell. The formation energy comes out at -0.639 eV/atom.

abc: 4.246 4.246 8.827
angles: 90.00 90.00 90.00
Space group P4/mmm (No. 123)
Inequivalent atoms, fractional coordinates:
1 Tb 0.000 0.000 0.000 (multiplicity 1)
2 Cd 0.000 0.000 0.500 (multiplicity 1)
3 As 0.500 0.500 0.139 (multiplicity 2)
4 Pd 0.000 0.500 0.280 (multiplicity 4)
5 Pd 0.500 0.500 0.500 (multiplicity 1)

---

Entry 2:
A geometry-optimized TmCdAs2Pd5 structure. Source: Alexandria via LeMat-Bulk, functional PBE.

Calculated values
The calculation puts the volume at 17.55 Å³ per atom. The value obtained for the total magnetization is 0.00 μB per cell. The calculation puts the total energy at -46.151 eV per cell. The formation energy comes out at -0.611 eV/atom.

abc: 4.246 4.246 8.761
angles: 90.00 90.00 90.00
Space group P4/mmm (No. 123)
Inequivalent atoms, fractional coordinates:
1 Tm 0.000 0.000 0.000 (multiplicity 1)
2 Cd 0.000 0.000 0.500 (multiplicity 1)
3 As 0.500 0.500 0.139 (multiplicity 2)
4 Pd 0.000 0.500 0.277 (multiplicity 4)
5 Pd 0.500 0.500 0.500 (multiplicity 1)

---

Entry 3:
A geometry-optimized PmCdAs2 structure. Source: Alexandria via LeMat-Bulk, functional PBE.

Calculated values
The calculation puts the relative energy among the computed polymorphs at 3.90 kcal/mol of atoms. The calculation puts the volume at 22.94 Å³ per atom. The value obtained for the total magnetization is 0.00 μB per cell. The calculation puts the total energy at -67.104 eV per cell. The formation energy comes out at -0.453 eV/atom.

abc: 7.160 7.160 7.160
angles: 90.00 90.00 90.00
Space group Fm-3m (No. 225)
Inequivalent atoms, fractional coordinates:
1 Pm 0.000 0.000 0.000 (multiplicity 4)
2 Cd 0.000 0.000 0.500 (multiplicity 4)
3 As 0.250 0.250 0.250 (multiplicity 8)

---

Entry 4:
A geometry-optimized PmCdAs2 structure. Source: Alexandria via LeMat-Bulk, functional PBE.

Calculated values
The calculation puts the relative energy among the computed polymorphs at 1.68 kcal/mol of atoms. The calculation puts the volume at 25.70 Å³ per atom. The value obtained for the total magnetization is 0.00 μB per cell. The calculation puts the total energy at -17.161 eV per cell. The formation energy comes out at -0.549 eV/atom.

abc: 3.997 3.997 6.436
angles: 90.00 90.00 90.00
Space group P4/mmm (No. 123)
Inequivalent atoms, fractional coordinates:
1 Pm 0.000 0.000 0.000 (multiplicity 1)
2 Cd 0.000 0.000 0.500 (multiplicity 1)
3 As 0.500 0.500 0.195 (multiplicity 2)

---

Entry 5:
A geometry-optimized PmCdAs2 structure. Source: Alexandria via LeMat-Bulk, functional PBE.

Calculated values
The calculation puts the relative energy among the computed polymorphs at 5.78 kcal/mol of atoms. The calculation puts the volume at 33.62 Å³ per atom. The value obtained for the total magnetization is 0.00 μB per cell. The calculation puts the total energy at -49.349 eV per cell. The formation energy comes out at -0.371 eV/atom.

abc: 4.3476 4.3476 24.6463
angles: 90.00 90.00 120.00
Space group R-3m (No. 166, hexagonal axes)
Inequivalent atoms, fractional coordinates:
1 Pm 0.0000 0.0000 0.0000 (multiplicity 3)
2 Cd 0.0000 0.0000 0.5000 (multiplicity 3)
3 As 0.0000 0.0000 0.3982 (multiplicity 6)

---

Entry 6:
A geometry-optimized Pm3Cd12As5 structure. Source: Alexandria via LeMat-Bulk, functional PBE.

Calculated values
The calculation puts the volume at 30.30 Å³ per atom. The value obtained for the total magnetization is 0.00 μB per cell. The calculation puts the total energy at -367.556 eV per cell. The formation energy comes out at 0.127 eV/atom.

abc: 16.924 16.924 16.924
angles: 90.00 90.00 90.00
Space group Ia-3d (No. 230)
Inequivalent atoms, fractional coordinates:
1 Pm 0.000 0.250 0.125 (multiplicity 24)
2 Cd 0.036 0.071 0.644 (multiplicity 96)
3 As 0.000 0.000 0.000 (multiplicity 16)
4 As 0.000 0.250 0.375 (multiplicity 24)

---

Entry 7:
A geometry-optimized PmCdAs2 structure. Source: Alexandria via LeMat-Bulk, functional PBE.

Calculated values
The calculation puts the relative energy among the computed polymorphs at 0.00 kcal/mol of atoms. The calculation puts the volume at 22.39 Å³ per atom. The value obtained for the total magnetization is 0.00 μB per cell. The calculation puts the total energy at -17.452 eV per cell. The formation energy comes out at -0.622 eV/atom.

abc: 4.773 4.773 3.932
angles: 90.00 90.00 90.00
Space group P4/mmm (No. 123)
Inequivalent atoms, fractional coordinates:
1 Pm 0.000 0.000 0.000 (multiplicity 1)
2 Cd 0.500 0.500 0.000 (multiplicity 1)
3 As 0.000 0.500 0.500 (multiplicity 2)

---

Entry 8:
A geometry-optimized PmCd2As structure. Source: Alexandria via LeMat-Bulk, functional PBE.

Calculated values
The calculation puts the volume at 23.88 Å³ per atom. The value obtained for the total magnetization is 0.00 μB per cell. The calculation puts the total energy at -13.472 eV per cell. The formation energy comes out at -0.560 eV/atom.

abc: 4.271 4.271 5.237
angles: 90.00 90.00 90.00
Space group P4/mmm (No. 123)
Inequivalent atoms, fractional coordinates:
1 Pm 0.000 0.000 0.000 (multiplicity 1)
2 Cd 0.000 0.500 0.500 (multiplicity 2)
3 As 0.500 0.500 0.000 (multiplicity 1)

---

Entry 9:
A geometry-optimized PmCdAs2Rh5 structure. Source: Alexandria via LeMat-Bulk, functional PBE.

Calculated values
The calculation puts the volume at 20.04 Å³ per atom. The value obtained for the total magnetization is 0.00 μB per cell. The calculation puts the total energy at -54.438 eV per cell. The formation energy comes out at -0.302 eV/atom.

abc: 4.041 4.041 11.044
angles: 90.00 90.00 90.00
Space group P4/mmm (No. 123)
Inequivalent atoms, fractional coordinates:
1 Pm 0.000 0.000 0.000 (multiplicity 1)
2 Cd 0.000 0.000 0.500 (multiplicity 1)
3 As 0.500 0.500 0.215 (multiplicity 2)
4 Rh 0.000 0.500 0.328 (multiplicity 4)
5 Rh 0.500 0.500 0.000 (multiplicity 1)

---

Entry 10:
A geometry-optimized Pm2CdAs4Rh3 structure. Source: Alexandria via LeMat-Bulk, functional PBE.

Calculated values
The calculation puts the volume at 19.47 Å³ per atom. The value obtained for the total magnetization is 0.00 μB per cell. The calculation puts the total energy at -58.868 eV per cell. The formation energy comes out at -0.780 eV/atom.

abc: 4.319 4.319 10.439
angles: 90.00 90.00 90.00
Space group P-4m2 (No. 115)
Inequivalent atoms, fractional coordinates:
1 Pm 0.000 0.500 0.235 (multiplicity 2)
2 Cd 0.000 0.000 0.500 (multiplicity 1)
3 As 0.000 0.000 0.000 (multiplicity 1)
4 As 0.000 0.500 0.652 (multiplicity 2)
5 As 0.500 0.500 0.000 (multiplicity 1)
6 Rh 0.000 0.500 0.884 (multiplicity 2)
7 Rh 0.500 0.500 0.500 (multiplicity 1)

---

Entry 11:
A geometry-optimized Pm2CdAs3Rh4 structure. Source: Alexandria via LeMat-Bulk, functional PBE.

Calculated values
The calculation puts the volume at 18.89 Å³ per atom. The value obtained for the total magnetization is 0.00 μB per cell. The calculation puts the total energy at -61.782 eV per cell. The formation energy comes out at -0.801 eV/atom.

abc: 4.121 4.121 11.124
angles: 90.00 90.00 90.00
Space group P-4m2 (No. 115)
Inequivalent atoms, fractional coordinates:
1 Pm 0.000 0.500 0.244 (multiplicity 2)
2 Cd 0.000 0.000 0.500 (multiplicity 1)
3 As 0.000 0.500 0.871 (multiplicity 2)
4 As 0.500 0.500 0.500 (multiplicity 1)
5 Rh 0.000 0.000 0.000 (multiplicity 1)
6 Rh 0.000 0.500 0.658 (multiplicity 2)
7 Rh 0.500 0.500 0.000 (multiplicity 1)

---

Entry 12:
A geometry-optimized PrCdAs structure. Source: Alexandria via LeMat-Bulk, functional PBE.

Calculated values
The calculation puts the volume at 30.44 Å³ per atom. The value obtained for the total magnetization is 0.00 μB per cell. The calculation puts the total energy at -74.154 eV per cell. The formation energy comes out at -0.672 eV/atom.

abc: 5.0173 5.0173 25.1353
angles: 90.00 90.00 120.00
Space group R-3m (No. 166, hexagonal axes)
Inequivalent atoms, fractional coordinates:
1 Pr 0.0000 0.0000 0.1002 (multiplicity 6)
2 Cd 0.0000 0.0000 0.3264 (multiplicity 6)
3 As 0.0000 0.0000 0.2168 (multiplicity 6)

---

Entry 13:
A geometry-optimized Pr2CdAs4Pt3 structure. Source: Alexandria via LeMat-Bulk, functional PBE.

Calculated values
The calculation puts the volume at 20.87 Å³ per atom. The value obtained for the total magnetization is 0.00 μB per cell. The calculation puts the total energy at -54.763 eV per cell. The formation energy comes out at -0.757 eV/atom.

abc: 4.511 4.511 10.256
angles: 90.00 90.00 90.00
Space group P-4m2 (No. 115)
Inequivalent atoms, fractional coordinates:
1 Pr 0.000 0.500 0.236 (multiplicity 2)
2 Cd 0.000 0.000 0.500 (multiplicity 1)
3 As 0.000 0.000 0.000 (multiplicity 1)
4 As 0.000 0.500 0.643 (multiplicity 2)
5 As 0.500 0.500 0.000 (multiplicity 1)
6 Pt 0.000 0.500 0.883 (multiplicity 2)
7 Pt 0.500 0.500 0.500 (multiplicity 1)

---

Entry 14:
A geometry-optimized Pr2CdAs4Rh3 structure. Source: Alexandria via LeMat-Bulk, functional PBE.

Calculated values
The calculation puts the volume at 19.75 Å³ per atom. The value obtained for the total magnetization is 0.00 μB per cell. The calculation puts the total energy at -59.096 eV per cell. The formation energy comes out at -0.797 eV/atom.

abc: 4.356 4.356 10.404
angles: 90.00 90.00 90.00
Space group P-4m2 (No. 115)
Inequivalent atoms, fractional coordinates:
1 Pr 0.000 0.500 0.235 (multiplicity 2)
2 Cd 0.000 0.000 0.500 (multiplicity 1)
3 As 0.000 0.000 0.000 (multiplicity 1)
4 As 0.000 0.500 0.651 (multiplicity 2)
5 As 0.500 0.500 0.000 (multiplicity 1)
6 Rh 0.000 0.500 0.886 (multiplicity 2)
7 Rh 0.500 0.500 0.500 (multiplicity 1)

---

Entry 15:
A geometry-optimized Pr2CdAs3Rh4 structure. Source: Alexandria via LeMat-Bulk, functional PBE.

Calculated values
The calculation puts the volume at 19.19 Å³ per atom. The value obtained for the total magnetization is 0.00 μB per cell. The calculation puts the total energy at -61.806 eV per cell. The formation energy comes out at -0.798 eV/atom.

abc: 4.162 4.162 11.079
angles: 90.00 90.00 90.00
Space group P-4m2 (No. 115)
Inequivalent atoms, fractional coordinates:
1 Pr 0.000 0.500 0.246 (multiplicity 2)
2 Cd 0.000 0.000 0.500 (multiplicity 1)
3 As 0.000 0.500 0.872 (multiplicity 2)
4 As 0.500 0.500 0.500 (multiplicity 1)
5 Rh 0.000 0.000 0.000 (multiplicity 1)
6 Rh 0.000 0.500 0.657 (multiplicity 2)
7 Rh 0.500 0.500 0.000 (multiplicity 1)

---

Entry 16:
A geometry-optimized PrCdAs2Rh5 structure. Source: Alexandria via LeMat-Bulk, functional PBE.

Calculated values
The calculation puts the volume at 20.17 Å³ per atom. The value obtained for the total magnetization is 0.00 μB per cell. The calculation puts the total energy at -54.523 eV per cell. The formation energy comes out at -0.308 eV/atom.

abc: 4.069 4.069 10.968
angles: 90.00 90.00 90.00
Space group P4/mmm (No. 123)
Inequivalent atoms, fractional coordinates:
1 Pr 0.000 0.000 0.000 (multiplicity 1)
2 Cd 0.000 0.000 0.500 (multiplicity 1)
3 As 0.500 0.500 0.217 (multiplicity 2)
4 Rh 0.000 0.500 0.329 (multiplicity 4)
5 Rh 0.500 0.500 0.000 (multiplicity 1)

---

Entry 17:
A geometry-optimized PrCdAsS structure. Source: Alexandria via LeMat-Bulk, functional PBE.

Calculated values
The calculation puts the volume at 24.95 Å³ per atom. The value obtained for the total magnetization is 0.00 μB per cell. Its uncorrected formation energy is -0.99 eV per atom. The calculation puts the total energy at -36.888 eV per cell.

abc: 4.567 4.567 9.569
angles: 90.00 90.00 90.00
Space group P4/nmm (No. 129, origin choice 2)
Inequivalent atoms, fractional coordinates:
1 Pr 0.250 0.250 0.165 (multiplicity 2)
2 Cd 0.250 0.750 0.500 (multiplicity 2)
3 As 0.250 0.250 0.680 (multiplicity 2)
4 S 0.250 0.750 0.000 (multiplicity 2)

---

Entry 18:
A geometry-optimized CdAs2Pt structure. Source: Alexandria via LeMat-Bulk, functional PBE.

Calculated values
The calculation puts the volume at 21.11 Å³ per atom. The value obtained for the total magnetization is 0.00 μB per cell. The calculation puts the total energy at -17.000 eV per cell. The formation energy comes out at -0.186 eV/atom.

abc: 4.521 3.662 5.436
angles: 90.00 110.23 90.00
Space group P2/m (No. 10)
Inequivalent atoms, fractional coordinates:
1 Cd 0.000 0.000 0.000 (multiplicity 1)
2 As 0.252 0.500 0.682 (multiplicity 2)
3 Pt 0.500 0.000 0.500 (multiplicity 1)

---

Entry 19:
A geometry-optimized CdAs2Pt2 structure. Source: Alexandria via LeMat-Bulk, functional PBE.

Calculated values
The calculation puts the relative energy among the computed polymorphs at 0.39 kcal/mol of atoms. The calculation puts the volume at 18.41 Å³ per atom. The value obtained for the total magnetization is 0.00 μB per cell. The calculation puts the total energy at -45.305 eV per cell. The formation energy comes out at -0.071 eV/atom.

abc: 7.333 7.333 3.423
angles: 90.00 90.00 90.00
Space group P4/mbm (No. 127)
Inequivalent atoms, fractional coordinates:
1 Cd 0.000 0.000 0.000 (multiplicity 2)
2 As 0.157 0.343 0.500 (multiplicity 4)
3 Pt 0.139 0.639 0.000 (multiplicity 4)

---

Entry 20:
A geometry-optimized CdAs2Pt structure. Source: Alexandria via LeMat-Bulk, functional PBE.

Calculated values
The calculation puts the volume at 21.00 Å³ per atom. The value obtained for the total magnetization is 0.00 μB per cell. The calculation puts the total energy at -50.798 eV per cell. The formation energy comes out at -0.169 eV/atom.

abc: 3.7937 3.7937 20.2175
angles: 90.00 90.00 120.00
Space group R-3m (No. 166, hexagonal axes)
Inequivalent atoms, fractional coordinates:
1 Cd 0.0000 0.0000 0.0000 (multiplicity 3)
2 As 0.0000 0.0000 0.2316 (multiplicity 6)
3 Pt 0.0000 0.0000 0.5000 (multiplicity 3)